Entry 1:
# ErUSn6

A relaxed structure of ErUSn6 (PBE-GGA, Alexandria).

Calculated values
Uncorrected energy   -5.2365 eV/atom
Density   9.2 g cm⁻³
Space-group type   P4/mmm (123)
DOS(E_F)   9.888 states/eV/f.u.
Calculated formation energy   -0.253 eV/atom

abc: 4.659 4.659 9.343
angles: 90.00 90.00 90.00
Site moments in Bohr magnetons follow the coordinates.
Atoms (fractional coordinates):
Er (0.000, 0.000, 0.000)  -0.06
U (0.000, 0.000, 0.500)  2.32
Sn (0.500, 0.500, 0.000)  0.00
Sn (0.500, 0.500, 0.500)  -0.01
Sn (0.500, 0.000, 0.252)  0.00
Sn (0.500, 0.000, 0.748)  0.00
Sn (0.000, 0.500, 0.252)  0.00
Sn (0.000, 0.500, 0.748)  0.00

Entry 2:
# Er6VSn10

A relaxed structure of Er6VSn10 (PBE-GGA, Alexandria).

Calculated values
Uncorrected energy   -4.9333 eV/atom
Density   8.6 g cm⁻³
Space-group type   P-31m (162)
DOS(E_F)   9.342 states/eV/f.u.
Calculated formation energy   -0.432 eV/atom

abc: 6.139 9.048 9.048
angles: 120.00 90.00 90.00
Atoms (fractional coordinates):
Er (0.747, 0.393, 0.393)
Er (0.747, 0.000, 0.607)
Er (0.747, 0.607, 0.000)
Er (0.253, 0.607, 0.607)
Er (0.253, 0.000, 0.393)
Er (0.253, 0.393, 0.000)
V (0.500, 0.000, 0.000)
Sn (0.782, 0.769, 0.769)
Sn (0.782, 0.000, 0.231)
Sn (0.782, 0.231, 0.000)
Sn (0.218, 0.231, 0.231)
Sn (0.218, 0.000, 0.769)
Sn (0.218, 0.769, 0.000)
Sn (0.500, 0.333, 0.667)
Sn (0.500, 0.667, 0.333)
Sn (0.000, 0.667, 0.333)
Sn (0.000, 0.333, 0.667)